LaEuGa: optimized geometry, PBE.

Computed properties:
Calculated formation energy ... -1.0 eV/f.u.
SG ... I4mm
Relative energy among the computed polymorphs ... 0.0 meV per atom
ρ ... 6.37 g cm⁻³

```
3
Lattice="-1.9060 1.9060 6.4717 1.9060 -1.9060 6.4717 1.9060 1.9060 -6.4717" Properties=species:S:1:pos:R:3 pbc="T T T"
La 0.0000 0.0000 0.0000
Eu 0.0000 0.0000 9.4207
Ga 0.0000 0.0000 4.7324
```